{"formula": "TaBeIr4", "functional": "GGA-PBE", "state": "optimized geometry", "rho_kg_m3": 16767, "m_tot_mub_per_cell": 0.00, "formation_enthalpy_0k_ev_per_atom": 0.13, "spacegroup": "No. 216", "n_ef_per_ev_cell": 3.92, "final_energy_ev_per_atom": -8.372, "lattice": [[0.000, 3.621, 3.621], [3.621, 0.000, 3.621], [3.621, 3.621, 0.000]], "species": ["Be", "Ir", "Ir", "Ir", "Ir", "Ta"], "frac_coords": [[0.000, 0.000, 0.000], [0.626, 0.123, 0.626], [0.123, 0.626, 0.626], [0.626, 0.626, 0.123], [0.626, 0.626, 0.626], [0.250, 0.250, 0.250]]}

{"formula": "NbAl2Pd", "functional": "GGA-PBE", "state": "optimized geometry", "rho_kg_m3": 6665, "m_tot_mub_per_cell": 0.00, "formation_enthalpy_0k_ev_per_atom": -0.54, "spacegroup": "No. 123", "n_ef_per_ev_cell": 2.95, "final_energy_ev_per_atom": -6.222, "lattice": [[-0.793, 0.839, -3.521], [-3.552, -2.079, 0.304], [-1.906, 3.440, 1.249]], "species": ["Nb", "Al", "Pd", "Al"], "frac_coords": [[0.500, 0.500, 0.500], [0.000, 0.500, 0.000], [0.500, 0.000, 0.000], [0.000, 0.000, 0.500]]}

{"formula": "UTiSe2N", "functional": "GGA-PBE", "state": "optimized geometry", "raw_formation_energy_mev_per_atom": -1281, "rho_kg_m3": 8297, "m_tot_mub_per_cell": 3.00, "spacegroup": "No. 129", "n_ef_per_ev_cell": 13.53, "final_energy_ev_per_atom": -8.176, "lattice": [[3.726, 0.000, 0.000], [0.000, 3.726, 0.000], [0.000, 0.000, 13.202]], "species": ["Ti", "Se", "Se", "Ti", "Se", "N", "U", "N", "U", "Se"], "frac_coords": [[0.500, 0.000, 0.082], [0.000, 0.500, 0.709], [0.500, 0.000, 0.291], [0.000, 0.500, 0.918], [0.500, 0.000, 0.888], [0.000, 0.000, 0.500], [0.500, 0.000, 0.593], [0.500, 0.500, 0.500], [0.000, 0.500, 0.407], [0.000, 0.500, 0.112]]}

{"formula": "Sc2CdO", "functional": "GGA-PBE", "state": "optimized geometry", "raw_formation_energy_mev_per_atom": -1129, "e_above_lowest_polymorph_ev_per_atom": 0.411, "rho_kg_m3": 3994, "m_tot_mub_per_cell": 0.58, "spacegroup": "No. 166", "n_ef_per_ev_cell": 3.23, "final_energy_ev_per_atom": -5.763, "lattice": [[2.172, -8.217, 1.552], [3.676, -7.654, -1.595], [5.336, -6.657, 1.360]], "species": ["Sc", "O", "Sc", "Cd"], "frac_coords": [[0.926, 0.926, 0.926], [0.000, 0.000, 0.000], [0.074, 0.074, 0.074], [0.500, 0.500, 0.500]]}